Version a
First-principles (GGA-PBE) data for an optimized crystal structure of ZnCr2Tc2, as listed in the Alexandria database.

Unit cell a=5.983 b=5.983 c=5.983 alpha=142.44 beta=142.44 gamma=54.17
Sites, in units of the cell vectors:
Zn (0.000, 0.000, 0.000)
Cr (0.250, 0.750, 0.500)
Cr (0.750, 0.250, 0.500)
Tc (0.381, 0.381, 0.000)
Tc (0.619, 0.619, 0.000)

Properties
crystal system	tetragonal
space-group type	I4/mmm, No. 139
density of states at the Fermi level	0.73	states/eV/atom
V	15.81	Å³ per atom

Version b
First-principles (GGA-PBE) data for an optimized crystal structure of ZnCr2Tc2, as listed in the Alexandria database.

Unit cell a=7.084 b=7.084 c=2.798 alpha=90.00 beta=90.00 gamma=90.00
Sites, in units of the cell vectors:
Zn (0.000, 0.000, 0.000)
Zn (0.500, 0.500, 0.000)
Cr (0.139, 0.361, 0.000)
Cr (0.361, 0.861, 0.000)
Cr (0.639, 0.139, 0.000)
Cr (0.861, 0.639, 0.000)
Tc (0.159, 0.659, 0.500)
Tc (0.341, 0.159, 0.500)
Tc (0.659, 0.841, 0.500)
Tc (0.841, 0.341, 0.500)

Properties
crystal system	tetragonal
space-group type	P4/mbm, No. 127
density of states at the Fermi level	0.98	states/eV/atom
V	14.04	Å³ per atom

Which one is most stable, and which one is least stable? version b is the most stable of them, while version a is the least stable.

Version a
First-principles (GGA-PBE) data for an optimized crystal structure of ZrCr2Tc2, as listed in the Alexandria database.

Unit cell a=5.828 b=5.828 c=5.828 alpha=139.56 beta=139.56 gamma=58.52
Sites, in units of the cell vectors:
Zr (0.000, 0.000, 0.000)
Cr (0.250, 0.750, 0.500)
Cr (0.750, 0.250, 0.500)
Tc (0.376, 0.376, 0.000)
Tc (0.624, 0.624, 0.000)

Properties
crystal system	tetragonal
space-group type	I4/mmm, No. 139
density of states at the Fermi level	1.44	states/eV/atom
V	16.51	Å³ per atom

Version b
First-principles (GGA-PBE) data for an optimized crystal structure of ZrCr2Tc2, as listed in the Alexandria database.

Unit cell a=7.308 b=7.308 c=2.813 alpha=90.00 beta=90.00 gamma=90.00
Sites, in units of the cell vectors:
Zr (0.000, 0.000, 0.000)
Zr (0.500, 0.500, 0.000)
Cr (0.144, 0.356, 0.000)
Cr (0.356, 0.856, 0.000)
Cr (0.644, 0.144, 0.000)
Cr (0.856, 0.644, 0.000)
Tc (0.152, 0.652, 0.500)
Tc (0.348, 0.152, 0.500)
Tc (0.652, 0.848, 0.500)
Tc (0.848, 0.348, 0.500)

Properties
crystal system	tetragonal
space-group type	P4/mbm, No. 127
density of states at the Fermi level	1.16	states/eV/atom
V	15.02	Å³ per atom

Which one is most stable, and which one is least stable? version b is the most stable of them, while version a is the least stable.

Version a
First-principles (GGA-PBE) data for an optimized crystal structure of Cr5Te, as listed in the Alexandria database.

Unit cell a=6.451 b=6.451 c=4.110 alpha=90.00 beta=90.00 gamma=152.81
Sites, in units of the cell vectors:
Cr (0.000, 0.000, 0.000)
Cr (0.176, 0.824, 0.500)
Cr (0.329, 0.671, 0.000)
Cr (0.671, 0.329, 0.000)
Cr (0.824, 0.176, 0.500)
Te (0.500, 0.500, 0.500)

Properties
crystal system	orthorhombic
space-group type	Cmmm, No. 65
density of states at the Fermi level	0.74	states/eV/atom
V	13.03	Å³ per atom

Version b
First-principles (GGA-PBE) data for an optimized crystal structure of Cr5Te, as listed in the Alexandria database.

Unit cell a=4.526 b=4.526 c=4.447 alpha=90.00 beta=90.00 gamma=120.00
Sites, in units of the cell vectors:
Cr (0.000, 0.654, 0.000)
Cr (0.333, 0.667, 0.500)
Cr (0.346, 0.346, 0.000)
Cr (0.654, 0.000, 0.000)
Cr (0.667, 0.333, 0.500)
Te (0.000, 0.000, 0.500)

Properties
crystal system	hexagonal
space-group type	P-62m, No. 189
density of states at the Fermi level	1.64	states/eV/atom
V	13.15	Å³ per atom

Which one is most stable, and which one is least stable? version a is the most stable of them, while version b is the least stable.

Version a
First-principles (GGA-PBE) data for an optimized crystal structure of Cr5Te, as listed in the Alexandria database.

Unit cell a=2.978 b=2.978 c=9.176 alpha=90.00 beta=90.00 gamma=90.00
Sites, in units of the cell vectors:
Cr (0.000, 0.000, 0.000)
Cr (0.000, 0.000, 0.303)
Cr (0.000, 0.000, 0.697)
Cr (0.500, 0.500, 0.154)
Cr (0.500, 0.500, 0.846)
Te (0.500, 0.500, 0.500)

Properties
crystal system	tetragonal
space-group type	P4/mmm, No. 123
density of states at the Fermi level	0.78	states/eV/atom
V	13.56	Å³ per atom

Version b
First-principles (GGA-PBE) data for an optimized crystal structure of Cr5Te, as listed in the Alexandria database.

Unit cell a=4.851 b=4.851 c=5.837 alpha=107.79 beta=107.79 gamma=36.86
Sites, in units of the cell vectors:
Cr (0.000, 0.000, 0.000)
Cr (0.326, 0.326, 0.150)
Cr (0.329, 0.329, 0.675)
Cr (0.671, 0.671, 0.325)
Cr (0.674, 0.674, 0.850)
Te (0.000, 0.000, 0.500)

Properties
crystal system	monoclinic
space-group type	C2/m, No. 12
density of states at the Fermi level	0.82	states/eV/atom
V	13.00	Å³ per atom

Which one is most stable, and which one is least stable? version b is the most stable of them, while version a is the least stable.

Version a
First-principles (GGA-PBE) data for an optimized crystal structure of Cr3Te, as listed in the Alexandria database.

Unit cell a=4.946 b=4.946 c=4.946 alpha=142.14 beta=131.58 gamma=63.06
Sites, in units of the cell vectors:
Cr (0.000, 0.000, 0.000)
Cr (0.247, 0.747, 0.500)
Cr (0.753, 0.253, 0.500)
Te (0.500, 0.500, 0.000)

Properties
crystal system	orthorhombic
space-group type	Immm, No. 71
density of states at the Fermi level	1.01	states/eV/atom
V	13.72	Å³ per atom

Version b
First-principles (GGA-PBE) data for an optimized crystal structure of Cr3Te, as listed in the Alexandria database.

Unit cell a=4.312 b=4.312 c=4.312 alpha=60.00 beta=60.00 gamma=60.00
Sites, in units of the cell vectors:
Cr (0.000, 0.000, 0.000)
Cr (0.250, 0.250, 0.250)
Cr (0.750, 0.750, 0.750)
Te (0.500, 0.500, 0.500)

Properties
crystal system	cubic
space-group type	Fm-3m, No. 225
density of states at the Fermi level	1.18	states/eV/atom
V	14.17	Å³ per atom

Which one is most stable, and which one is least stable? version b is the most stable of them, while version a is the least stable.

Version a
First-principles (GGA-PBE) data for an optimized crystal structure of Cr3Te5, as listed in the Alexandria database.

Unit cell a=3.989 b=3.989 c=14.739 alpha=90.00 beta=90.00 gamma=120.00
Sites, in units of the cell vectors:
Cr (0.000, 0.000, 0.000)
Cr (0.000, 0.000, 0.221)
Cr (0.000, 0.000, 0.779)
Te (0.000, 0.000, 0.500)
Te (0.333, 0.667, 0.321)
Te (0.333, 0.667, 0.890)
Te (0.667, 0.333, 0.110)
Te (0.667, 0.333, 0.679)

Properties
crystal system	trigonal
space-group type	P-3m1, No. 164
density of states at the Fermi level	0.58	states/eV/atom
V	25.39	Å³ per atom

Version b
First-principles (GGA-PBE) data for an optimized crystal structure of Cr3Te5, as listed in the Alexandria database.

Unit cell a=8.595 b=8.595 c=5.938 alpha=90.00 beta=90.00 gamma=120.00
Sites, in units of the cell vectors:
Cr (0.000, 0.380, 0.250)
Cr (0.000, 0.620, 0.750)
Cr (0.380, 0.000, 0.250)
Cr (0.380, 0.380, 0.750)
Cr (0.620, 0.000, 0.750)
Cr (0.620, 0.620, 0.250)
Te (0.000, 0.270, 0.750)
Te (0.000, 0.730, 0.250)
Te (0.270, 0.000, 0.750)
Te (0.270, 0.270, 0.250)
Te (0.333, 0.667, 0.000)
Te (0.333, 0.667, 0.500)
Te (0.667, 0.333, 0.000)
Te (0.667, 0.333, 0.500)
Te (0.730, 0.000, 0.250)
Te (0.730, 0.730, 0.750)

Properties
crystal system	hexagonal
space-group type	P6_3/mcm, No. 193
density of states at the Fermi level	0.40	states/eV/atom
V	23.74	Å³ per atom

Which one is most stable, and which one is least stable? version a is the most stable of them, while version b is the least stable.

Version a
First-principles (GGA-PBE) data for an optimized crystal structure of TiCrTe3, as listed in the Alexandria database.

Unit cell a=5.264 b=5.264 c=5.264 alpha=90.00 beta=90.00 gamma=90.00
Sites, in units of the cell vectors:
Ti (0.000, 0.000, 0.000)
Cr (0.500, 0.500, 0.500)
Te (0.000, 0.000, 0.500)
Te (0.000, 0.500, 0.000)
Te (0.500, 0.000, 0.000)

Properties
crystal system	cubic
space-group type	Pm-3m, No. 221
density of states at the Fermi level	3.09	states/eV/atom
V	29.17	Å³ per atom

Version b
First-principles (GGA-PBE) data for an optimized crystal structure of TiCrTe3, as listed in the Alexandria database.

Unit cell a=5.171 b=5.171 c=5.171 alpha=90.00 beta=90.00 gamma=90.00
Sites, in units of the cell vectors:
Ti (0.000, 0.000, 0.000)
Cr (0.500, 0.500, 0.500)
Te (0.000, 0.500, 0.500)
Te (0.500, 0.000, 0.500)
Te (0.500, 0.500, 0.000)

Properties
crystal system	cubic
space-group type	Pm-3m, No. 221
density of states at the Fermi level	1.52	states/eV/atom
V	27.65	Å³ per atom

Which one is most stable, and which one is least stable? version b is the most stable of them, while version a is the least stable.

Version a
First-principles (GGA-PBE) data for an optimized crystal structure of TiCr2Te4, as listed in the Alexandria database.

Unit cell a=7.419 b=7.419 c=6.911 alpha=115.89 beta=115.89 gamma=30.65
Sites, in units of the cell vectors:
Ti (0.000, 0.000, 0.000)
Cr (0.251, 0.251, 0.289)
Cr (0.510, 0.510, 0.581)
Te (0.142, 0.142, 0.840)
Te (0.366, 0.366, 0.741)
Te (0.617, 0.617, 0.322)
Te (0.889, 0.889, 0.270)

Properties
crystal system	monoclinic
space-group type	Cm, No. 8
density of states at the Fermi level	0.55	states/eV/atom
V	24.70	Å³ per atom

Version b
First-principles (GGA-PBE) data for an optimized crystal structure of TiCr2Te4, as listed in the Alexandria database.

Unit cell a=7.406 b=7.406 c=7.062 alpha=117.88 beta=117.88 gamma=30.94
Sites, in units of the cell vectors:
Ti (0.000, 0.000, 0.000)
Cr (0.258, 0.258, 0.274)
Cr (0.742, 0.742, 0.726)
Te (0.123, 0.123, 0.450)
Te (0.367, 0.367, 0.033)
Te (0.633, 0.633, 0.967)
Te (0.877, 0.877, 0.550)

Properties
crystal system	monoclinic
space-group type	C2/m, No. 12
density of states at the Fermi level	0.39	states/eV/atom
V	24.88	Å³ per atom

Which one is most stable, and which one is least stable? version b is the most stable of them, while version a is the least stable.